a) Compound: RbBa3O
Source: the Alexandria database
Functional: GGA-PBE
Structure: relaxed

```
RbBa3O
1.0
5.988 0.000 0.000
0.000 5.988 0.000
0.000 0.000 5.988
Rb Ba O
1 3 1
Cartesian
0.000 0.000 0.000
0.000 2.994 2.994
2.994 0.000 2.994
2.994 2.994 0.000
2.994 2.994 2.994
```

D(E_F): 1.11 states/eV per atom
magnetic moment: 0.00 μB per cell
symmetry: Pm-3m, No. 221

---

b) Compound: RbBa3O
Source: the Alexandria database
Functional: GGA-PBE
Structure: relaxed

```
RbBa3O
1.0
6.845 0.000 0.000
0.000 6.845 0.000
0.000 0.000 6.845
Rb Ba O
1 3 1
Cartesian
0.000 0.000 0.000
0.000 0.000 3.422
0.000 3.422 0.000
3.422 0.000 0.000
3.422 3.422 3.422
```

D(E_F): 1.37 states/eV per atom
magnetic moment: 3.12 μB per cell
symmetry: Pm-3m, No. 221

---

Relative stability in eV/atom, measured from the most stable structure: a) 0.000; b) 1.718

---

a) Compound: Rb2BaO6
Source: the Alexandria database
Functional: GGA-PBE
Structure: relaxed

```
Rb2BaO6
1.0
-1.868 3.255 7.036
1.868 -3.255 7.036
1.868 3.255 -7.036
Rb Ba O
2 1 6
Cartesian
0.000 0.000 2.325
0.000 0.000 11.747
0.000 3.255 0.000
1.868 0.679 0.000
1.868 2.538 -1.960
0.000 0.717 5.076
1.868 2.538 1.960
0.000 0.717 8.996
0.000 2.576 7.036
```

D(E_F): 0.55 states/eV per atom
magnetic moment: 2.03 μB per cell
symmetry: Immm, No. 71

---

b) Compound: Rb2BaO6
Source: the Alexandria database
Functional: GGA-PBE
Structure: relaxed

```
Rb2BaO6
1.0
-1.966 3.791 5.713
1.966 -3.791 5.713
1.966 3.791 -5.713
Rb Ba O
2 1 6
Cartesian
0.000 0.000 1.988
0.000 0.000 9.439
0.000 3.791 0.000
1.966 1.377 0.000
1.966 2.214 -1.233
1.966 2.214 1.233
0.000 1.577 4.481
0.000 1.577 6.946
0.000 2.414 5.713
```

D(E_F): 0.00 states/eV per atom
magnetic moment: 0.00 μB per cell
symmetry: Immm, No. 71

---

Relative stability in eV/atom, measured from the most stable structure: a) 0.000; b) 0.019

---

a) Compound: BaReO5
Source: the Alexandria database
Functional: GGA-PBE
Structure: relaxed

```
BaReO5
1.0
-3.790 3.934 3.788
3.790 -3.934 3.788
3.790 3.934 -3.788
Ba Re O
2 2 10
Cartesian
0.000 1.967 1.547
3.790 1.967 2.241
1.895 1.967 -1.894
1.895 -1.967 1.894
3.790 -1.967 2.409
1.895 3.831 -1.894
2.331 1.967 -0.096
1.895 -0.103 1.894
5.249 1.967 -0.096
-1.895 4.038 1.894
-1.459 1.967 3.884
1.895 4.038 1.894
1.459 1.967 3.884
0.000 5.901 1.379
```

D(E_F): 0.46 states/eV per atom
magnetic moment: 2.05 μB per cell
symmetry: Imma, No. 74

---

b) Compound: BaReO5
Source: the Alexandria database
Functional: GGA-PBE
Structure: relaxed

```
BaReO5
1.0
3.954 0.000 0.000
0.000 6.068 0.000
0.000 0.000 8.880
Ba Re O
2 2 10
Cartesian
0.000 0.000 0.000
1.977 3.034 4.440
0.000 0.000 4.440
1.977 3.034 0.000
0.000 1.366 3.180
0.000 1.366 5.700
0.000 3.034 0.000
0.000 4.702 3.180
0.000 4.702 5.700
1.977 0.000 4.440
1.977 1.668 1.260
1.977 1.668 7.619
1.977 4.401 1.260
1.977 4.401 7.619
```

D(E_F): 0.57 states/eV per atom
magnetic moment: 2.05 μB per cell
symmetry: Immm, No. 71

---

Relative stability in eV/atom, measured from the most stable structure: a) 0.000; b) 0.114